[1]
## Dy8MgCd2 (PBE-GGA)

Data for Dy8MgCd2 after structural relaxation.

POSCAR file:
```
Dy8MgCd2
1.0
-3.333 -1.214 3.907
-0.853 -6.542 -2.760
8.528 0.222 3.780
Dy Cd Mg
8 2 1
direct
0.812 0.719 0.625 Dy
0.975 0.235 0.950 Dy
0.332 0.039 0.664 Dy
0.188 0.281 0.375 Dy
0.668 0.961 0.336 Dy
0.025 0.765 0.050 Dy
0.407 0.535 0.813 Dy
0.593 0.465 0.187 Dy
0.188 0.701 0.376 Cd
0.812 0.299 0.624 Cd
0.500 0.000 0.000 Mg
```

The value obtained for the formation energy from the elements is -0.067 eV per atom. Its energy relative to the lowest polymorph listed for this composition is 4.4 kJ/mol of atoms. As for the density of states at the Fermi level: 0.91 states/eV/atom. The calculation puts the volume at 322.30 Å³/f.u.

[2]
## Pr5Dy2Sb5 (PBE-GGA)

Data for Pr5Dy2Sb5 after structural relaxation.

POSCAR file:
```
Pr5Dy2Sb5
1.0
-2.597 -2.661 -2.497
3.373 -4.480 5.284
-10.529 5.471 5.121
Sb Pr Dy
5 5 2
direct
0.315 0.629 0.212 Sb
0.884 0.768 0.577 Sb
0.685 0.371 0.788 Sb
0.116 0.232 0.423 Sb
0.000 0.000 0.000 Sb
0.339 0.678 0.960 Pr
0.661 0.322 0.040 Pr
0.271 0.543 0.653 Pr
0.500 0.000 0.500 Pr
0.729 0.457 0.347 Pr
0.045 0.089 0.790 Dy
0.955 0.911 0.210 Dy
```

The calculation puts the formation energy from raw total energies at -918 meV per atom. As for the density of states at the Fermi level: 0.75 states/eV/atom. The calculation puts the volume at 400.38 Å³/f.u.

[3]
## BaMn2Cr (PBE-GGA)

Data for BaMn2Cr after structural relaxation.

POSCAR file:
```
BaMn2Cr
1.0
5.159 0.005 0.000
-0.010 5.159 0.000
-2.574 -2.582 3.650
Mn Cr Ba
2 1 1
direct
0.250 0.750 0.500 Mn
0.000 0.000 0.000 Mn
0.750 0.250 0.500 Cr
0.500 0.500 0.000 Ba
```

The value obtained for the formation energy from the elements is 1.162 eV per atom. Its energy relative to the lowest polymorph listed for this composition is 65.1 kJ/mol of atoms. As for the density of states at the Fermi level: 1.52 states/eV/atom. The calculation puts the volume at 97.15 Å³/f.u.

[4]
## NaPmCdO3 (PBE-GGA)

Data for NaPmCdO3 after structural relaxation.

POSCAR file:
```
NaPmCdO3
1.0
-2.327 -0.119 -2.459
-2.762 -4.869 2.849
-6.277 2.697 5.811
Cd O Na Pm
2 6 2 2
direct
0.750 0.867 0.402 Cd
0.250 0.133 0.598 Cd
0.250 0.765 0.585 O
0.250 0.243 0.802 O
0.750 0.757 0.198 O
0.250 0.690 0.914 O
0.750 0.310 0.086 O
0.750 0.235 0.415 O
0.750 0.947 0.908 Na
0.250 0.053 0.092 Na
0.750 0.522 0.807 Pm
0.250 0.478 0.193 Pm
```

The calculation puts the formation energy from raw total energies at -2005 meV per atom. The calculation puts the volume at 88.71 Å³/f.u.

[5]
## TiVTe2 (PBE-GGA)

Data for TiVTe2 after structural relaxation.

POSCAR file:
```
TiVTe2
1.0
6.313 0.000 0.000
0.000 6.313 0.000
3.157 3.157 6.289
V Te Ti
2 4 2
direct
0.000 0.000 0.000 V
0.750 0.250 0.500 V
0.375 0.371 0.750 Te
0.875 0.879 0.750 Te
0.121 0.625 0.250 Te
0.629 0.125 0.250 Te
0.250 0.750 0.500 Ti
0.500 0.500 0.000 Ti
```

The calculation puts the formation energy from raw total energies at -48 meV per atom. Its energy relative to the lowest polymorph listed for this composition is 36.9 kJ/mol of atoms. As for the density of states at the Fermi level: 1.17 states/eV/atom. The calculation puts the volume at 125.32 Å³/f.u.

[6]
## Sm4Er3Tm5 (PBE-GGA)

Data for Sm4Er3Tm5 after structural relaxation.

POSCAR file:
```
Sm4Er3Tm5
1.0
-2.005 -5.469 0.682
5.828 -4.796 3.893
-7.446 0.336 6.016
Er Tm Sm
3 5 4
direct
0.525 0.688 0.261 Er
0.000 0.500 0.500 Er
0.475 0.312 0.739 Er
0.211 0.460 0.118 Tm
0.789 0.540 0.882 Tm
0.368 0.062 0.202 Tm
0.500 0.500 0.500 Tm
0.632 0.938 0.798 Tm
0.138 0.778 0.946 Sm
0.862 0.222 0.054 Sm
0.833 0.951 0.382 Sm
0.167 0.049 0.618 Sm
```

The value obtained for the formation energy from the elements is 0.240 eV per atom. As for the density of states at the Fermi level: 1.63 states/eV/atom. The calculation puts the volume at 387.69 Å³/f.u.

[7]
## Ba2NaRhAu (PBE-GGA)

Data for Ba2NaRhAu after structural relaxation.

POSCAR file:
```
Ba2NaRhAu
1.0
-0.687 -5.745 1.214
3.315 -1.388 -4.694
4.349 0.121 3.036
Ba Au Rh Na
2 1 1 1
direct
0.500 0.000 0.000 Ba
0.000 0.500 0.000 Ba
0.000 0.000 0.500 Au
0.000 0.000 0.000 Rh
0.500 0.500 0.500 Na
```

The value obtained for the formation energy from the elements is -0.146 eV per atom. Its energy relative to the lowest polymorph listed for this composition is 0.0 kJ/mol of atoms. As for the density of states at the Fermi level: 0.38 states/eV/atom. The calculation puts the volume at 185.43 Å³/f.u.

[8]
## PaBeSi2Os2 (PBE-GGA)

Data for PaBeSi2Os2 after structural relaxation.

POSCAR file:
```
PaBeSi2Os2
1.0
3.759 0.000 0.000
0.000 3.759 0.000
-1.879 -1.879 9.094
Be Si Os Pa
1 2 2 1
direct
0.000 0.000 0.000 Be
0.662 0.662 0.323 Si
0.338 0.338 0.677 Si
0.750 0.250 0.500 Os
0.250 0.750 0.500 Os
0.500 0.500 0.000 Pa
```

The calculation puts the formation energy from raw total energies at 758 meV per atom. As for the density of states at the Fermi level: 1.18 states/eV/atom. The calculation puts the volume at 128.49 Å³/f.u.

[9]
## Ba2ZnCd3In4 (PBE-GGA)

Data for Ba2ZnCd3In4 after structural relaxation.

POSCAR file:
```
Ba2ZnCd3In4
1.0
-2.118 -4.252 -1.220
2.619 -2.295 3.454
-8.817 2.078 8.068
In Cd Ba Zn
4 3 2 1
direct
0.000 0.000 0.000 In
0.000 0.500 0.376 In
0.500 0.000 0.624 In
0.500 0.500 0.000 In
0.000 0.500 0.140 Cd
0.500 0.000 0.860 Cd
0.000 0.000 0.500 Cd
0.000 0.500 0.743 Ba
0.500 0.000 0.257 Ba
0.500 0.500 0.500 Zn
```

The value obtained for the formation energy from the elements is -0.311 eV per atom. As for the density of states at the Fermi level: 0.50 states/eV/atom. The calculation puts the volume at 291.79 Å³/f.u.

[10]
## Tb4PmHo2Th (PBE-GGA)

Data for Tb4PmHo2Th after structural relaxation.

POSCAR file:
```
Tb4PmHo2Th
1.0
5.052 0.000 0.000
0.000 4.944 0.984
0.000 2.973 10.868
Ho Tb Th Pm
2 4 1 1
direct
0.500 0.000 0.500 Ho
0.000 0.000 0.000 Ho
0.500 0.746 0.254 Tb
0.500 0.254 0.746 Tb
0.000 0.247 0.253 Tb
0.000 0.753 0.747 Tb
0.000 0.500 0.500 Th
0.500 0.500 0.000 Pm
```

The value obtained for the formation energy from the elements is 0.030 eV per atom. As for the density of states at the Fermi level: 1.36 states/eV/atom. The calculation puts the volume at 256.68 Å³/f.u.

[11]
## Li4ZrTl (PBE-GGA)

Data for Li4ZrTl after structural relaxation.

POSCAR file:
```
Li4ZrTl
1.0
0.000 3.780 3.780
3.780 0.000 3.780
3.780 3.780 0.000
Li Zr Tl
4 1 1
direct
0.375 0.375 0.375 Li
0.375 0.875 0.375 Li
0.875 0.375 0.375 Li
0.375 0.375 0.875 Li
0.000 0.000 0.000 Zr
0.750 0.750 0.750 Tl
```

The value obtained for the formation energy from the elements is 0.117 eV per atom. As for the density of states at the Fermi level: 0.64 states/eV/atom. The calculation puts the volume at 108.00 Å³/f.u.

[12]
## Cs2InHg12 (PBE-GGA)

Data for Cs2InHg12 after structural relaxation.

POSCAR file:
```
Cs2InHg12
1.0
7.406 0.000 0.000
0.000 7.406 0.000
0.000 0.000 18.661
Hg Cs In
24 4 2
direct
0.250 0.750 0.088 Hg
0.250 0.250 0.912 Hg
0.750 0.750 0.912 Hg
0.750 0.250 0.912 Hg
0.343 0.157 0.564 Hg
0.343 0.843 0.436 Hg
0.157 0.343 0.436 Hg
0.000 0.000 0.648 Hg
0.657 0.157 0.436 Hg
0.000 0.000 0.179 Hg
0.000 0.000 0.352 Hg
0.843 0.657 0.436 Hg
0.843 0.343 0.564 Hg
0.750 0.250 0.088 Hg
0.000 0.000 0.821 Hg
0.157 0.657 0.564 Hg
0.657 0.843 0.564 Hg
0.250 0.250 0.088 Hg
0.500 0.500 0.821 Hg
0.500 0.500 0.179 Hg
0.250 0.750 0.912 Hg
0.750 0.750 0.088 Hg
0.500 0.500 0.648 Hg
0.500 0.500 0.352 Hg
0.000 0.500 0.752 Cs
0.500 0.000 0.248 Cs
0.000 0.500 0.248 Cs
0.500 0.000 0.752 Cs
0.500 0.000 0.000 In
0.000 0.500 0.000 In
```

The value obtained for the formation energy from the elements is -0.134 eV per atom. As for the density of states at the Fermi level: 0.35 states/eV/atom. The calculation puts the volume at 511.73 Å³/f.u.

Which M_tot belongs to each record? In order, 0.000, 0.000, 12.407, 0.000, 10.009, 0.606, 0.000, 0.000, 0.000, 0.000, 1.086, 0.000 Bohr magnetons per cell.